No. 1
Entry from Alexandria via LeMat-Bulk: an optimized crystal structure of MnIn2SnBr6 (GGA-PBE).

```
MnIn2SnBr6
1.0
7.491 0.000 -0.006
0.000 7.982 0.000
0.054 0.000 10.934
Mn In Sn Br
2 4 2 12
Cartesian
3.773 0.000 5.464
0.000 3.991 0.000
0.224 7.323 2.734
3.996 4.649 8.198
7.321 0.658 8.194
3.549 3.333 2.730
3.745 0.000 -0.003
0.027 3.991 5.467
2.219 5.440 0.500
5.991 6.533 5.964
5.326 2.542 10.428
1.554 1.449 4.964
2.443 5.681 4.926
6.215 6.291 10.390
5.102 2.301 6.002
1.330 1.690 0.538
6.750 4.161 2.576
3.032 7.811 8.046
0.795 3.820 8.352
4.513 0.171 2.882
```

Values from the calculation:
Space-group type: No. 14
Energy, eV/atom: -3.58


No. 2
Entry from Alexandria via LeMat-Bulk: an optimized crystal structure of MnInSn2Br8 (GGA-PBE).

```
MnInSn2Br8
1.0
-1.258 2.816 6.320
4.983 -3.593 2.698
5.460 6.286 -1.713
Mn In Sn Br
1 1 2 8
Cartesian
0.000 0.000 0.000
2.730 3.143 -0.857
6.006 4.381 3.211
3.179 1.128 4.094
4.948 -0.907 2.725
8.354 5.515 4.680
1.292 3.026 5.503
4.237 6.416 4.580
0.831 -0.006 2.625
7.892 2.483 1.802
5.542 2.405 5.394
3.643 3.104 1.911
```

Values from the calculation:
Space-group type: No. 10
Energy, eV/atom: -3.48


No. 3
Entry from Alexandria via LeMat-Bulk: an optimized crystal structure of MnInSn2Br (GGA-PBE).

```
MnInSn2Br
1.0
4.997 0.000 0.000
0.000 4.997 0.000
0.000 0.000 5.229
Mn Sn Br In
1 2 1 1
Cartesian
0.000 0.000 0.000
0.000 2.499 0.000
2.499 0.000 0.000
2.499 2.499 2.614
0.000 0.000 2.614
```

Values from the calculation:
Space-group type: No. 123
Energy, eV/atom: -4.39


No. 4
Entry from Alexandria via LeMat-Bulk: an optimized crystal structure of SrMnIn2Br6 (GGA-PBE).

```
SrMnIn2Br6
1.0
-3.582 6.767 2.373
-7.928 0.132 1.196
-2.959 0.663 7.190
Sr Mn In Br
1 1 2 6
Cartesian
-11.026 5.996 6.878
-3.791 2.215 1.498
-7.315 3.934 4.817
-3.227 1.160 5.372
-4.145 3.837 3.630
-9.393 1.477 3.755
-8.691 7.011 5.166
-9.077 3.749 7.629
-5.433 4.850 7.395
-6.398 1.256 6.557
```

Values from the calculation:
Space-group type: No. 148
Energy, eV/atom: -3.74


No. 5
Entry from Alexandria via LeMat-Bulk: an optimized crystal structure of SrMnInBr5 (GGA-PBE).

```
SrMnInBr5
1.0
8.085 0.077 -0.083
-2.287 7.755 -0.083
-2.528 -3.415 9.940
Sr Mn In Br
2 2 2 10
Cartesian
-1.264 -1.707 4.970
0.000 0.000 0.000
4.153 1.666 2.402
-0.882 2.751 7.372
0.665 4.248 2.402
2.605 0.169 7.372
-1.872 6.127 2.402
5.143 -1.710 7.372
6.334 2.234 1.292
-3.064 2.183 8.482
4.246 -0.586 3.512
-0.976 5.003 6.262
3.454 3.268 4.209
-0.184 1.150 5.565
2.417 1.867 0.595
0.853 2.550 9.179
```

Values from the calculation:
Space-group type: No. 15
Energy, eV/atom: -3.98


No. 6
Entry from Alexandria via LeMat-Bulk: an optimized crystal structure of MnIn2TeBr (GGA-PBE).

```
MnIn2TeBr
1.0
6.016 0.000 0.000
0.000 5.817 0.000
0.000 0.000 6.016
Mn Te Br In
1 1 1 2
Cartesian
3.008 2.909 3.008
0.000 0.000 0.000
0.000 2.909 0.000
0.000 0.000 3.008
3.008 0.000 0.000
```

Values from the calculation:
Space-group type: No. 123
Energy, eV/atom: -3.20


Total moment
In order: 5.00; 4.64; 0.93; 4.96; 5.00; 4.85
Unit: μB per formula unit
V
In order: 653.71; 401.08; 130.57; 349.70; 620.42; 210.51
Unit: Å³/cell